(1)
## Ca2LaTaTi (PBE)

Data for Ca2LaTaTi after structural relaxation.

Output
Final energy (eV per atom): -4.442
Symmetry: P4/mmm
E_form (eV per atom): 1.29
Polymorph energy (0 for the lowest one) (meV per atom): 499.6

Cell lengths 5.7535, 5.7535, 5.4221 Å; angles 90.00, 90.00, 90.00 degrees
Fractional positions:
Ca (0.0000, 0.5000, 0.0000)
Ca (0.5000, 0.0000, 0.0000)
La (0.0000, 0.0000, 0.5000)
Ta (0.0000, 0.0000, 0.0000)
Ti (0.5000, 0.5000, 0.5000)

***

(2)
## TbEr5Cd3 (PBE)

Data for TbEr5Cd3 after structural relaxation.

Output
Final energy (eV per atom): -3.541
Symmetry: P6_3/mcm
E_form (eV per atom): -0.19

Cell lengths 9.1014, 9.1014, 6.8987 Å; angles 90.00, 90.00, 120.00 degrees
Fractional positions:
Tb (0.0000, 0.0000, 0.0000)
Tb (0.0000, 0.0000, 0.5000)
Er (0.0000, 0.3343, 0.2500)
Er (0.0000, 0.6657, 0.7500)
Er (0.3333, 0.6667, 0.0000)
Er (0.3333, 0.6667, 0.5000)
Er (0.3343, 0.0000, 0.2500)
Er (0.3343, 0.3343, 0.7500)
Er (0.6657, 0.0000, 0.7500)
Er (0.6657, 0.6657, 0.2500)
Er (0.6667, 0.3333, 0.0000)
Er (0.6667, 0.3333, 0.5000)
Cd (0.0000, 0.3335, 0.7500)
Cd (0.0000, 0.6665, 0.2500)
Cd (0.3335, 0.0000, 0.7500)
Cd (0.3335, 0.3335, 0.2500)
Cd (0.6665, 0.0000, 0.2500)
Cd (0.6665, 0.6665, 0.7500)

***

(3)
## Ba2AcSc2O7 (PBE)

Data for Ba2AcSc2O7 after structural relaxation.

Output
Final energy (eV per atom): -7.648
Symmetry: I4/mmm
Formation energy (no corrections) (meV per atom): -3037

Cell lengths 11.2609, 11.2609, 11.2609 Å; angles 158.70, 158.70, 30.31 degrees
Fractional positions:
Ba (0.1837, 0.1837, 0.0000)
Ba (0.8163, 0.8163, 0.0000)
Ac (0.0000, 0.0000, 0.0000)
Sc (0.4034, 0.4034, 0.0000)
Sc (0.5966, 0.5966, 0.0000)
O (0.0869, 0.5869, 0.5000)
O (0.3067, 0.3067, 0.0000)
O (0.4131, 0.9131, 0.5000)
O (0.5000, 0.5000, 0.0000)
O (0.5869, 0.0869, 0.5000)
O (0.6933, 0.6933, 0.0000)
O (0.9131, 0.4131, 0.5000)

***

(4)
## CaAsRh2I (PBE)

Data for CaAsRh2I after structural relaxation.

Output
Final energy (eV per atom): -4.705
Symmetry: P4/mmm
Formation energy (no corrections) (meV per atom): -124

Cell lengths 4.6236, 4.6236, 5.7904 Å; angles 90.00, 90.00, 90.00 degrees
Fractional positions:
Ca (0.0000, 0.0000, 0.0000)
As (0.0000, 0.0000, 0.5000)
Rh (0.0000, 0.5000, 0.5000)
Rh (0.5000, 0.0000, 0.5000)
I (0.5000, 0.5000, 0.0000)

***

(5)
## SrMgRh2 (PBE)

Data for SrMgRh2 after structural relaxation.

Output
Final energy (eV per atom): -4.387
Symmetry: F-43m
E_form (eV per atom): 0.11

Cell lengths 4.7976, 4.7976, 4.7976 Å; angles 60.00, 60.00, 60.00 degrees
Fractional positions:
Sr (0.0000, 0.0000, 0.0000)
Mg (0.2500, 0.2500, 0.2500)
Rh (0.5000, 0.5000, 0.5000)
Rh (0.7500, 0.7500, 0.7500)

***

(6)
## AcDy14Ho (PBE)

Data for AcDy14Ho after structural relaxation.

Output
Final energy (eV per atom): -4.549
Symmetry: Amm2
E_form (eV per atom): 0.02

Cell lengths 11.3528, 7.2762, 7.2762 Å; angles 59.99, 90.00, 90.00 degrees
Fractional positions:
Ac (0.0000, 0.0000, 0.0000)
Dy (0.0000, 0.5015, 0.9978)
Dy (0.0000, 0.9978, 0.5015)
Dy (0.2497, 0.3335, 0.3335)
Dy (0.2544, 0.3362, 0.8320)
Dy (0.2544, 0.8320, 0.3362)
Dy (0.2547, 0.8322, 0.8322)
Dy (0.5000, 0.0001, 0.0001)
Dy (0.5000, 0.0001, 0.5000)
Dy (0.5000, 0.5000, 0.0001)
Dy (0.5000, 0.4999, 0.4999)
Dy (0.7453, 0.8322, 0.8322)
Dy (0.7456, 0.3362, 0.8320)
Dy (0.7456, 0.8320, 0.3362)
Dy (0.7503, 0.3335, 0.3335)
Ho (0.0000, 0.5012, 0.5012)

***

Q: What is the final energy in the second record?
A: -3.541 eV per atom